The following is a DFT calculation (PBE-GGA) of a relaxed SmDy5Tm12 crystal.

Geometry as CIF:
```
data_SmDy5Tm12
_cell_length_a 11.406
_cell_length_b 7.697
_cell_length_c 10.890
_cell_angle_alpha 69.10
_cell_angle_beta 61.23
_cell_angle_gamma 42.19
_symmetry_space_group_name_H-M 'P 1'
_symmetry_Int_Tables_number 1
loop_
_symmetry_equiv_pos_as_xyz
'x,y,z'
loop_
_atom_site_label
_atom_site_fract_x
_atom_site_fract_y
_atom_site_fract_z
_atom_site_occupancy
Dy1 0.833 0.334 0.500 1
Tm1 0.505 0.667 0.348 1
Tm2 0.142 0.333 0.828 1
Tm3 0.495 0.333 0.652 1
Tm4 0.193 0.000 0.173 1
Sm1 0.000 0.000 0.000 1
Tm5 0.807 0.000 0.827 1
Dy2 0.167 0.667 0.500 1
Tm6 0.858 0.667 0.172 1
Tm7 0.162 0.000 0.651 1
Tm8 0.828 0.667 0.652 1
Tm9 0.525 0.333 0.172 1
Dy3 0.500 0.000 0.500 1
Dy4 0.334 0.331 0.000 1
Tm10 0.475 0.667 0.828 1
Dy5 0.666 0.669 0.000 1
Tm11 0.172 0.333 0.348 1
Tm12 0.838 0.000 0.349 1
```

Space group: C2/m (12)
Volume, Å³ per atom: 31.27
ΔH_f (0 K), eV/atom: 0.133